(1)
# YSb3Pb

An optimized crystal structure of YSb3Pb (PBE-GGA, Alexandria).

Summary:
Theoretical density = 5.74 g/cm3
Total magnetization = 0.00 μB/atom
Total energy = -4.250 eV/atom
ΔE to the lowest computed polymorph = 0.000 eV per atom

Cell lengths 5.7611, 5.7611, 5.7611 Å; angles 90.00, 90.00, 90.00 degrees
With the nearest neighbours (Å) after each atom.
Space group Pm-3m (No. 221)
Unique sites:
Y 0.0000 0.0000 0.0000 (multiplicity 1)  6 Sb 2.88
Sb 0.0000 0.0000 0.5000 (multiplicity 3)  2 Y 2.88
Pb 0.5000 0.5000 0.5000 (multiplicity 1)  12 Sb 4.07

(2)
# KAlPF2

An optimized crystal structure of KAlPF2 (PBE-GGA, Alexandria).

Summary:
Theoretical density = 2.10 g/cm3
Total magnetization = 0.00 μB/atom
Total energy = -3.567 eV/atom

Cell lengths 4.8352, 4.8352, 4.5629 Å; angles 90.00, 90.00, 90.00 degrees
With the nearest neighbours (Å) after each atom.
Space group P4/mmm (No. 123)
Unique sites:
K 0.0000 0.0000 0.0000 (multiplicity 1)  8 F 3.32, 4 Al 3.42
Al 0.5000 0.5000 0.0000 (multiplicity 1)  2 P 2.28
P 0.5000 0.5000 0.5000 (multiplicity 1)  2 Al 2.28, 4 F 2.42
F 0.0000 0.5000 0.5000 (multiplicity 2)  2 P 2.42

(3)
# K2LiTc2N4

An optimized crystal structure of K2LiTc2N4 (PBE-GGA, Alexandria).

Summary:
Theoretical density = 3.97 g/cm3
Total magnetization = 0.00 μB/atom
Total energy = -6.644 eV/atom

Cell lengths 13.8408, 3.3415, 6.5187 Å; angles 90.00, 110.78, 90.00 degrees
With the nearest neighbours (Å) after each atom.
Space group C2/m (No. 12)
Unique sites:
K 0.1219 0.0000 0.4852 (multiplicity 4)  5 N 2.82-3.00, 1 Li 3.01
Li 0.0000 0.0000 0.0000 (multiplicity 2)  4 N 2.27
Tc 0.1740 0.5000 0.9856 (multiplicity 4)  1 N 1.76
N 0.0433 0.5000 0.8125 (multiplicity 4)  1 Tc 1.76
N 0.2214 0.0000 0.1759 (multiplicity 4)  3 Tc 2.05-2.07

(4)
# Nd5Sm2N5

An optimized crystal structure of Nd5Sm2N5 (PBE-GGA, Alexandria).

Summary:
Theoretical density = 6.83 g/cm3
Total magnetization = 0.16 μB/atom
Total energy = -7.203 eV/atom

Cell lengths 12.2154, 3.5179, 12.5721 Å; angles 90.00, 100.75, 90.00 degrees
With the nearest neighbours (Å) after each atom.
Space group C2/m (No. 12)
Unique sites:
Nd 0.0000 0.0000 0.0000 (multiplicity 2)  4 N 2.54
Nd 0.1492 0.0000 0.5628 (multiplicity 4)  5 N 2.40-2.64
Nd 0.2232 0.0000 0.8759 (multiplicity 4)  3 N 2.39-2.43
Sm 0.0668 0.5000 0.3197 (multiplicity 4)  3 N 2.35-2.55
N 0.0000 0.5000 0.5000 (multiplicity 2)  2 Sm 2.55, 4 Nd 2.55
N 0.1364 0.5000 0.9591 (multiplicity 4)  5 Nd 2.39-2.54
N 0.1889 0.0000 0.3832 (multiplicity 4)  2 Sm 2.35, 1 Nd 2.40

(5)
# K2TlSi

An optimized crystal structure of K2TlSi (PBE-GGA, Alexandria).

Summary:
Theoretical density = 3.36 g/cm3
Total magnetization = 0.00 μB/atom
Total energy = -2.387 eV/atom
ΔE to the lowest computed polymorph = 0.000 eV per atom

Cell lengths 4.5782, 5.5327, 12.1370 Å; angles 90.00, 90.00, 90.00 degrees
With the nearest neighbours (Å) after each atom.
Space group Amm2 (No. 38)
Unique sites:
K 0.0000 0.0000 0.0000 (multiplicity 2)  3 Si 3.56-3.73, 4 Tl 3.78
K 0.5000 0.0000 0.2922 (multiplicity 2)  3 Tl 3.64-3.70, 4 Si 3.74
Tl 0.5000 0.0000 0.5969 (multiplicity 2)  2 Si 2.65
Si 0.0000 0.0000 0.7066 (multiplicity 2)  2 Tl 2.65

(6)
# LiVB2

An optimized crystal structure of LiVB2 (PBE-GGA, Alexandria).

Summary:
Theoretical density = 3.54 g/cm3
Total magnetization = 0.00 μB/atom
Energy of formation = 0.566 eV/atom
Total energy = -5.531 eV/atom
ΔE to the lowest computed polymorph = 0.213 eV per atom

Cell lengths 5.6114, 5.6114, 4.7402 Å; angles 90.00, 90.00, 90.00 degrees
With the nearest neighbours (Å) after each atom.
Space group I-42d (No. 122)
Unique sites:
Li 0.0000 0.0000 0.0000 (multiplicity 4)  4 B 2.03
V 0.0000 0.0000 0.5000 (multiplicity 4)  4 B 2.12
B 0.2383 0.2500 0.1250 (multiplicity 8)  2 Li 2.03, 2 V 2.12

(7)
# MoIr3Rh

An optimized crystal structure of MoIr3Rh (PBE-GGA, Alexandria).

Summary:
Theoretical density = 12.64 g/cm3
Total magnetization = 0.36 μB/atom
Energy of formation = 1.845 eV/atom
Total energy = -7.109 eV/atom
ΔE to the lowest computed polymorph = 1.636 eV per atom

Cell lengths 4.6703, 4.6703, 4.6703 Å; angles 90.00, 90.00, 90.00 degrees
With the nearest neighbours (Å) after each atom.
Space group Pm-3m (No. 221)
Unique sites:
Mo 0.0000 0.0000 0.0000 (multiplicity 1)  6 Ir 2.34
Ir 0.0000 0.0000 0.5000 (multiplicity 3)  2 Mo 2.34
Rh 0.5000 0.5000 0.5000 (multiplicity 1)  12 Ir 3.30

(8)
# LaTmTlIr

An optimized crystal structure of LaTmTlIr (PBE-GGA, Alexandria).

Summary:
Theoretical density = 11.74 g/cm3
Total magnetization = 0.00 μB/atom
Energy of formation = -0.409 eV/atom
Total energy = -5.565 eV/atom

Cell lengths 7.3589, 7.3589, 7.3589 Å; angles 90.00, 90.00, 90.00 degrees
With the nearest neighbours (Å) after each atom.
Space group F-43m (No. 216)
Unique sites:
La 0.0000 0.0000 0.0000 (multiplicity 4)  4 Tl 3.19, 4 Ir 3.19
Tm 0.0000 0.0000 0.5000 (multiplicity 4)  4 Tl 3.19, 4 Ir 3.19
Tl 0.2500 0.2500 0.7500 (multiplicity 4)  4 La 3.19, 4 Tm 3.19
Ir 0.2500 0.2500 0.2500 (multiplicity 4)  4 Tm 3.19, 4 La 3.19

(9)
# Mn3V17Si12

An optimized crystal structure of Mn3V17Si12 (PBE-GGA, Alexandria).

Summary:
Theoretical density = 5.57 g/cm3
Total magnetization = 0.00 μB/atom
Total energy = -8.303 eV/atom

Cell lengths 13.1696, 13.1668, 4.7015 Å; angles 90.00, 90.00, 90.00 degrees
With the nearest neighbours (Å) after each atom.
Space group Amm2 (No. 38)
Unique sites:
Mn 0.0000 0.0000 0.0000 (multiplicity 2)  2 Mn 2.35-2.36, 4 Si 2.41
Mn 0.0000 0.0000 0.4990 (multiplicity 2)  2 Mn 2.35-2.36, 4 Si 2.41-2.42
Mn 0.5000 0.0000 0.5021 (multiplicity 2)  2 V 2.35, 4 Si 2.43
V 0.0971 0.1773 0.2491 (multiplicity 8)  6 Si 2.48-2.69, 2 V 2.56-2.77
V 0.1762 0.0978 0.7505 (multiplicity 8)  6 Si 2.46-2.70, 1 V 2.58
V 0.3227 0.0990 0.2476 (multiplicity 8)  6 Si 2.48-2.71, 2 V 2.61-2.73
V 0.4004 0.1763 0.7553 (multiplicity 8)  6 Si 2.47-2.72, 2 V 2.62-2.73
V 0.5000 0.0000 0.0024 (multiplicity 2)  2 Mn 2.35, 4 Si 2.47
Si 0.0000 0.1598 0.7498 (multiplicity 4)  2 Mn 2.41, 8 V 2.46-2.69
Si 0.1601 0.0000 0.2484 (multiplicity 4)  2 Mn 2.41-2.42, 8 V 2.48-2.70
Si 0.2488 0.2494 0.5006 (multiplicity 8)  2 Si 2.35, 8 V 2.50-2.52
Si 0.3368 0.0000 0.7446 (multiplicity 4)  1 Mn 2.43, 9 V 2.47-2.71
Si 0.5000 0.1633 0.2603 (multiplicity 4)  1 Mn 2.43, 9 V 2.47-2.72